Na2AcNiF8: optimized geometry, GGA+U.

Properties
As for the mass density: 4.6 g/cm³. Its final energy is -4.875 eV/atom.

Cell: 4.4620 5.4180 7.2599 Å, 90.18 90.10 91.54°
With the nearest neighbours (Å) after each atom.
Sites, in units of the cell vectors:
Na 0.0008 0.0006 0.2766  6 F 2.31-2.42
Na 0.9992 0.9994 0.7234  6 F 2.31-2.42
Ac 0.5000 0.5000 0.0000  6 F 2.43-2.50
Ni 0.5000 0.5000 0.5000  6 F 1.86-1.98
F 0.0409 0.2485 0.0001  2 Na 2.42, 1 Ac 2.43, 1 F 2.71
F 0.1636 0.2882 0.5004  1 Ni 1.86
F 0.3719 0.7124 0.2946  1 Ni 1.98
F 0.3740 0.7140 0.7062  1 Ni 1.98
F 0.6260 0.2860 0.2938  1 Ni 1.98
F 0.6281 0.2876 0.7054  1 Ni 1.98
F 0.8364 0.7118 0.4996  1 Ni 1.86
F 0.9591 0.7515 0.9999  2 Na 2.42, 1 Ac 2.43, 1 F 2.71